1.
# CrAsSe, relaxed, DFT PBE
# **Raw formation energy**: -146.7 meV per atom
# **Spin magnetization**: 0.0 μB/f.u.
# **Uncorrected energy**: -6.0659 eV/atom
data_CrAsSe
_space_group_name_H-M_alt 'P 3 m 1'
_space_group_IT_number 156
_cell_length_a 3.1059
_cell_length_b 3.1059
_cell_length_c 7.2759
_cell_angle_alpha 90.00
_cell_angle_beta 90.00
_cell_angle_gamma 120.00
loop_
_space_group_symop_operation_xyz
'x,y,z'
'-y,x-y,z'
'-x+y,-x,z'
'-y,-x,z'
'-x+y,y,z'
'x,x-y,z'
loop_
_atom_site_label
_atom_site_type_symbol
_atom_site_fract_x
_atom_site_fract_y
_atom_site_fract_z
Cr1 Cr 0.0000 0.0000 0.0000
As1 As 0.3333 0.6667 0.7562
Se1 Se 0.6667 0.3333 0.2169

2.
# U2Pa2Se7, relaxed, DFT PBE
# **Raw formation energy**: -1265.1 meV per atom
# **Spin magnetization**: 7.4 μB/f.u.
# **Uncorrected energy**: -7.2614 eV/atom
data_U2Pa2Se7
_space_group_name_H-M_alt 'I m m 2'
_space_group_IT_number 44
_cell_length_a 4.018
_cell_length_b 14.766
_cell_length_c 9.008
_cell_angle_alpha 90.00
_cell_angle_beta 90.00
_cell_angle_gamma 90.00
loop_
_space_group_symop_operation_xyz
'x,y,z'
'-x,-y,z'
'-x,y,z'
'x,-y,z'
'x+1/2,y+1/2,z+1/2'
'-x+1/2,-y+1/2,z+1/2'
'-x+1/2,y+1/2,z+1/2'
'x+1/2,-y+1/2,z+1/2'
loop_
_atom_site_label
_atom_site_type_symbol
_atom_site_fract_x
_atom_site_fract_y
_atom_site_fract_z
U1 U 0.000 0.000 0.000
U2 U 0.000 0.500 0.056
Pa1 Pa 0.000 0.240 0.235
Se1 Se 0.000 0.000 0.319
Se2 Se 0.000 0.112 0.723
Se3 Se 0.000 0.318 0.938
Se4 Se 0.000 0.360 0.551

3.
# CaAu2F12, relaxed, DFT PBE
# **Raw formation energy**: -1458.2 meV per atom
# **Spin magnetization**: 0.0 μB/f.u.
# **Uncorrected energy**: -3.5257 eV/atom
data_CaAu2F12
_space_group_name_H-M_alt 'P -4 m 2'
_space_group_IT_number 115
_cell_length_a 6.080
_cell_length_b 6.080
_cell_length_c 7.049
_cell_angle_alpha 90.00
_cell_angle_beta 90.00
_cell_angle_gamma 90.00
loop_
_space_group_symop_operation_xyz
'x,y,z'
'y,-x,-z'
'-x,-y,z'
'-y,x,-z'
'-x,y,z'
'-y,-x,-z'
'x,-y,z'
'y,x,-z'
loop_
_atom_site_label
_atom_site_type_symbol
_atom_site_fract_x
_atom_site_fract_y
_atom_site_fract_z
Ca1 Ca 0.000 0.000 0.000
Au1 Au 0.000 0.500 0.232
F1 F 0.000 0.500 0.506
F2 F 0.000 0.500 0.954
F3 F 0.208 0.255 0.219

4.
# Dy4Te2Rh, relaxed, DFT PBE
# **Raw formation energy**: -993.7 meV per atom
# **Spin magnetization**: 0.0 μB/f.u.
# **Uncorrected energy**: -5.5713 eV/atom
data_Dy4Te2Rh
_space_group_name_H-M_alt 'P b a m'
_space_group_IT_number 55
_cell_length_a 7.901
_cell_length_b 12.370
_cell_length_c 4.226
_cell_angle_alpha 90.00
_cell_angle_beta 90.00
_cell_angle_gamma 90.00
loop_
_space_group_symop_operation_xyz
'x,y,z'
'-x,-y,-z'
'-x,-y,z'
'x,y,-z'
'x+1/2,-y+1/2,-z'
'-x+1/2,y+1/2,z'
'-x+1/2,y+1/2,-z'
'x+1/2,-y+1/2,z'
loop_
_atom_site_label
_atom_site_type_symbol
_atom_site_fract_x
_atom_site_fract_y
_atom_site_fract_z
Dy1 Dy 0.139 0.199 0.000
Dy2 Dy 0.204 0.945 0.500
Te1 Te 0.070 0.667 0.500
Rh1 Rh 0.000 0.000 0.000